## CsNa3Ag (SCAN)

Data for a crystal of CsNa3Ag relaxed with PBEsol.

a b c (Å): 6.6380 6.6380 6.6380
angles (deg): 90.00 90.00 90.00
With the nearest neighbours (Å) after each atom.
Sites, in units of the cell vectors:
Cs: 0.0000 0.0000 0.0000  6 Na 3.32
Na: 0.0000 0.0000 0.5000  2 Cs 3.32
Na: 0.0000 0.5000 0.0000  2 Cs 3.32
Na: 0.5000 0.0000 0.0000  2 Cs 3.32
Ag: 0.5000 0.5000 0.5000  12 Na 4.69

Calculated values
- total magnetization (μB per cell) = 0.0
- final energy (eV/atom) = -15.4522
- polymorph energy (0 for the lowest one) (meV per atom) = 854